{"formula": "TaAlPb2", "functional": "PBE", "state": "relaxed", "lattice": [[5.384, 0.157, 0.000], [-1.332, 5.219, 0.000], [0.000, 0.000, 3.206]], "species": ["Pb", "Pb", "Al", "Ta"], "fractional_positions": [[0.000, 0.000, 0.000], [0.500, 0.500, 0.000], [0.000, 0.500, 0.500], [0.500, 0.000, 0.500]], "space_group": "Cmmm", "final_energy_ev_per_cell": -20.65}

***

{"formula": "SmYTlPb", "functional": "PBE", "state": "relaxed", "lattice": [[5.455, 0.000, 0.000], [2.727, 4.724, 0.000], [2.727, 1.575, 4.454]], "species": ["Pb", "Y", "Tl", "Sm"], "fractional_positions": [[0.250, 0.250, 0.250], [0.000, 0.000, 0.000], [0.750, 0.750, 0.750], [0.500, 0.500, 0.500]], "polymorph_energy_mev_per_atom": 34, "space_group": "F-43m", "final_energy_ev_per_cell": -18.85}

***

{"formula": "MnAsIrBr2", "functional": "PBE", "state": "relaxed", "lattice": [[4.776, 0.000, 0.000], [0.000, 4.776, 0.000], [0.000, 0.000, 5.141]], "species": ["Mn", "As", "Ir", "Br", "Br"], "fractional_positions": [[0.000, 0.000, 0.000], [0.000, 0.000, 0.500], [0.500, 0.500, 0.500], [0.000, 0.500, 0.000], [0.500, 0.000, 0.000]], "polymorph_energy_mev_per_atom": 465, "space_group": "P4/mmm", "final_energy_ev_per_cell": -20.81}

***

{"formula": "BeRu2Au", "functional": "PBE", "state": "relaxed", "lattice": [[2.806, 0.000, 0.000], [0.000, 2.806, 0.000], [0.000, 0.000, 6.839]], "species": ["Ru", "Ru", "Au", "Be"], "fractional_positions": [[0.000, 0.000, 0.975], [0.500, 0.500, 0.221], [0.000, 0.000, 0.540], [0.500, 0.500, 0.764]], "space_group": "P4mm", "final_energy_ev_per_cell": -25.66}

***

{"formula": "BaErIn2", "functional": "PBE", "state": "relaxed", "lattice": [[3.857, 0.000, 0.000], [0.000, 5.759, 0.000], [0.000, 0.000, 5.759]], "species": ["In", "In", "Ba", "Er"], "fractional_positions": [[0.000, 0.000, 0.500], [0.000, 0.500, 0.000], [0.500, 0.500, 0.500], [0.500, 0.000, 0.000]], "polymorph_energy_mev_per_atom": 167, "space_group": "P4/mmm", "final_energy_ev_per_cell": -12.97}

***

{"formula": "SiMoRh", "functional": "PBE", "state": "relaxed", "lattice": [[-0.737, -0.155, -2.699], [-1.537, -1.301, 1.949], [-3.531, 5.170, 0.667]], "species": ["Mo", "Rh", "Si"], "fractional_positions": [[0.000, 0.000, 0.994], [0.667, 0.333, 0.351], [0.333, 0.667, 0.655]], "space_group": "P3m1", "final_energy_ev_per_cell": -24.28}

***

{"formula": "LiSi2Pt", "functional": "PBE", "state": "relaxed", "lattice": [[-0.791, 1.363, -4.005], [-2.537, -1.033, 0.150], [-1.662, 4.345, 1.807]], "species": ["Li", "Pt", "Si", "Si"], "fractional_positions": [[0.000, 0.500, 0.504], [0.500, 0.000, 0.740], [0.000, 0.999, 0.994], [0.500, 0.000, 0.261]], "polymorph_energy_mev_per_atom": 176, "space_group": "Pmm2", "final_energy_ev_per_cell": -20.05}

***

{"formula": "CaGa2CuHg", "functional": "PBE", "state": "relaxed", "lattice": [[-0.283, -5.565, -1.215], [2.388, -1.226, 5.059], [-5.176, -0.257, 2.380]], "species": ["Ca", "Cu", "Hg", "Ga", "Ga"], "fractional_positions": [[0.000, 0.000, 0.000], [0.500, 0.500, 0.500], [0.000, 0.500, 0.000], [0.000, 0.000, 0.500], [0.500, 0.000, 0.000]], "space_group": "P4/mmm", "final_energy_ev_per_cell": -7.70}

***

{"formula": "Na2WBr", "functional": "PBE", "state": "relaxed", "lattice": [[-0.288, -7.292, -4.402], [8.248, 0.859, -1.964], [4.733, -4.749, -0.693]], "species": ["Na", "Na", "Na", "Na", "Br", "Br", "W", "W"], "fractional_positions": [[0.585, 0.125, 0.250], [0.165, 0.625, 0.250], [0.375, 0.415, 0.750], [0.875, 0.835, 0.750], [0.500, 0.500, 0.000], [0.250, 0.750, 0.500], [0.000, 0.000, 0.000], [0.750, 0.250, 0.500]], "polymorph_energy_mev_per_atom": 0, "space_group": "I-42d", "final_energy_ev_per_cell": -26.65}

***

{"formula": "AlTc2Ir", "functional": "PBE", "state": "relaxed", "lattice": [[8.941, -0.011, -0.006], [8.517, 2.723, -0.006], [8.517, 1.323, 2.380]], "species": ["Ir", "Tc", "Tc", "Al"], "fractional_positions": [[0.750, 0.750, 0.750], [0.000, 0.000, 0.000], [0.500, 0.500, 0.500], [0.250, 0.250, 0.250]], "space_group": "R-3m", "final_energy_ev_per_cell": -33.86}

***

{"formula": "Tm6OsRh5", "functional": "PBE", "state": "relaxed", "lattice": [[4.539, -0.027, 1.513], [0.036, 6.702, 0.012], [-0.002, -0.014, 7.571]], "species": ["Rh", "Rh", "Rh", "Rh", "Rh", "Tm", "Tm", "Tm", "Tm", "Tm", "Tm", "Os"], "fractional_positions": [[0.667, 0.500, 0.665], [0.333, 0.000, 0.335], [0.000, 0.500, 0.000], [0.667, 0.000, 0.665], [0.333, 0.500, 0.335], [0.834, 0.751, 0.331], [0.834, 0.249, 0.331], [0.500, 0.248, 0.000], [0.500, 0.752, 0.000], [0.166, 0.751, 0.669], [0.166, 0.249, 0.669], [0.000, 0.000, 0.000]], "space_group": "Cmmm", "final_energy_ev_per_cell": -85.12}

***

{"formula": "Zn3RuBr", "functional": "PBE", "state": "relaxed", "lattice": [[4.909, 0.000, 0.000], [0.000, 4.909, 0.000], [0.000, 0.000, 4.909]], "species": ["Ru", "Zn", "Zn", "Zn", "Br"], "fractional_positions": [[0.000, 0.000, 0.000], [0.000, 0.500, 0.000], [0.000, 0.000, 0.500], [0.500, 0.000, 0.000], [0.500, 0.500, 0.500]], "polymorph_energy_mev_per_atom": 0, "space_group": "Pm-3m", "final_energy_ev_per_cell": -12.27}

***

Repeat the twelfth record exactly.
{"formula": "Zn3RuBr", "functional": "PBE", "state": "relaxed", "lattice": [[4.909, 0.000, 0.000], [0.000, 4.909, 0.000], [0.000, 0.000, 4.909]], "species": ["Ru", "Zn", "Zn", "Zn", "Br"], "fractional_positions": [[0.000, 0.000, 0.000], [0.000, 0.500, 0.000], [0.000, 0.000, 0.500], [0.500, 0.000, 0.000], [0.500, 0.500, 0.500]], "polymorph_energy_mev_per_atom": 0, "space_group": "Pm-3m", "final_energy_ev_per_cell": -12.27}